(1)
# Sm3SnRu (PBE, relaxed)
data_Sm3SnRu
_chemical_formula_sum 'Sm12 Sn4 Ru4'
_cell_length_a 11.6010
_cell_length_b 4.7511
_cell_length_c 9.9883
_cell_angle_alpha 90.00
_cell_angle_beta 94.62
_cell_angle_gamma 90.00
_symmetry_space_group_name_H-M 'C 1 2/m 1'
_symmetry_Int_Tables_number 12
loop_
_symmetry_equiv_pos_as_xyz
'x,y,z'
'-x,-y,-z'
'-x,y,-z'
'x,-y,z'
'x+1/2,y+1/2,z'
'-x+1/2,-y+1/2,-z'
'-x+1/2,y+1/2,-z'
'x+1/2,-y+1/2,z'
loop_
_atom_site_label
_atom_site_type_symbol
_atom_site_fract_x
_atom_site_fract_y
_atom_site_fract_z
_atom_site_occupancy
Sm1 Sm 0.1108 0.0000 0.1696 1
Sm2 Sm 0.1106 0.5000 0.8859 1
Sm3 Sm 0.1417 0.0000 0.6051 1
Sn1 Sn 0.0806 0.5000 0.3795 1
Ru1 Ru 0.2463 0.0000 0.8711 1
# ΔE_f: -0.441 eV/atom
# Crystal system: monoclinic
# Final energy: -0.4357 Ry/atom
# Excess energy over the best structure of this formula in the dataset: 0 meV per atom

(2)
# Ca3AcRh2 (PBE, relaxed)
data_Ca3AcRh2
_chemical_formula_sum 'Ca12 Ac4 Rh8'
_cell_length_a 17.7307
_cell_length_b 4.2354
_cell_length_c 9.8490
_cell_angle_alpha 90.00
_cell_angle_beta 114.65
_cell_angle_gamma 90.00
_symmetry_space_group_name_H-M 'C 1 2/m 1'
_symmetry_Int_Tables_number 12
loop_
_symmetry_equiv_pos_as_xyz
'x,y,z'
'-x,-y,-z'
'-x,y,-z'
'x,-y,z'
'x+1/2,y+1/2,z'
'-x+1/2,-y+1/2,-z'
'-x+1/2,y+1/2,-z'
'x+1/2,-y+1/2,z'
loop_
_atom_site_label
_atom_site_type_symbol
_atom_site_fract_x
_atom_site_fract_y
_atom_site_fract_z
_atom_site_occupancy
Ca1 Ca 0.0344 0.0000 0.1896 1
Ca2 Ca 0.1632 0.5000 0.0050 1
Ca3 Ca 0.1797 0.5000 0.3881 1
Ac1 Ac 0.1187 0.0000 0.6428 1
Rh1 Rh 0.0018 0.5000 0.3581 1
Rh2 Rh 0.2360 0.0000 0.2460 1
# ΔE_f: -0.392 eV/atom
# Crystal system: monoclinic
# Final energy: -0.3328 Ry/atom
# Excess energy over the best structure of this formula in the dataset: 0 meV per atom

(3)
# KMoP2 (PBE, relaxed)
data_KMoP2
_chemical_formula_sum 'K2 Mo2 P4'
_cell_length_a 3.4329
_cell_length_b 4.2870
_cell_length_c 11.2715
_cell_angle_alpha 90.00
_cell_angle_beta 90.00
_cell_angle_gamma 90.00
_symmetry_space_group_name_H-M 'C m m 2'
_symmetry_Int_Tables_number 35
loop_
_symmetry_equiv_pos_as_xyz
'x,y,z'
'-x,-y,z'
'-x,y,z'
'x,-y,z'
'x+1/2,y+1/2,z'
'-x+1/2,-y+1/2,z'
'-x+1/2,y+1/2,z'
'x+1/2,-y+1/2,z'
loop_
_atom_site_label
_atom_site_type_symbol
_atom_site_fract_x
_atom_site_fract_y
_atom_site_fract_z
_atom_site_occupancy
K1 K 0.0000 0.0000 0.0000 1
Mo1 Mo 0.0000 0.5000 0.2774 1
P1 P 0.0000 0.0000 0.4358 1
P2 P 0.0000 0.5000 0.7643 1
# ΔE_f: 0.688 eV/atom
# Crystal system: orthorhombic
# Final energy: -0.3674 Ry/atom
# Excess energy over the best structure of this formula in the dataset: 991 meV per atom

(4)
# Ce5US6 (PBE, relaxed)
data_Ce5US6
_chemical_formula_sum 'Ce10 U2 S12'
_cell_length_a 6.9153
_cell_length_b 11.9746
_cell_length_c 6.9180
_cell_angle_alpha 90.00
_cell_angle_beta 109.46
_cell_angle_gamma 90.00
_symmetry_space_group_name_H-M 'C 1 2/m 1'
_symmetry_Int_Tables_number 12
loop_
_symmetry_equiv_pos_as_xyz
'x,y,z'
'-x,-y,-z'
'-x,y,-z'
'x,-y,z'
'x+1/2,y+1/2,z'
'-x+1/2,-y+1/2,-z'
'-x+1/2,y+1/2,-z'
'x+1/2,-y+1/2,z'
loop_
_atom_site_label
_atom_site_type_symbol
_atom_site_fract_x
_atom_site_fract_y
_atom_site_fract_z
_atom_site_occupancy
Ce1 Ce 0.0000 0.0000 0.0000 1
Ce2 Ce 0.0000 0.1664 0.5000 1
Ce3 Ce 0.0000 0.3309 0.0000 1
U1 U 0.0000 0.5000 0.5000 1
S1 S 0.2445 0.5000 0.2517 1
S2 S 0.2457 0.3362 0.7459 1
# ΔE_f (raw): -1921 meV per atom
# Crystal system: monoclinic
# Final energy: -0.5438 Ry/atom